Record 1
A plane-wave DFT calculation with PBE was carried out for a relaxed structure of LaTiAl2Fe.

Cell lengths 4.635, 4.635, 4.599 Å; angles 90.00, 90.00, 90.00 degrees
Space group P4/mmm (No. 123)
Inequivalent atoms, fractional coordinates:
La 0.000 0.000 0.000 [1 per cell]
Ti 0.500 0.500 0.000 [1 per cell]
Al 0.000 0.500 0.500 [2 per cell]
Fe 0.500 0.500 0.500 [1 per cell]

Computed properties:
magnetic moment = 0.77 μB/f.u.
raw total energy = -0.219 hartree per atom
DFT formation energy = -0.21 eV/atom


Record 2
A plane-wave DFT calculation with PBE was carried out for a relaxed structure of LaTiAlFe2.

Cell lengths 4.491, 4.491, 5.390 Å; angles 90.00, 90.00, 90.00 degrees
Space group P4/mmm (No. 123)
Inequivalent atoms, fractional coordinates:
La 0.000 0.000 0.000 [1 per cell]
Ti 0.500 0.500 0.500 [1 per cell]
Al 0.000 0.000 0.500 [1 per cell]
Fe 0.000 0.500 0.000 [2 per cell]

Computed properties:
magnetic moment = 1.37 μB/f.u.
raw total energy = -0.191 hartree per atom
DFT formation energy = 1.51 eV/atom


Record 3
A plane-wave DFT calculation with PBE was carried out for a relaxed structure of LaAlTlFe2.

Cell lengths 4.853, 4.853, 5.795 Å; angles 90.00, 90.00, 90.00 degrees
Space group P4/mmm (No. 123)
Inequivalent atoms, fractional coordinates:
La 0.000 0.000 0.000 [1 per cell]
Al 0.500 0.500 0.000 [1 per cell]
Tl 0.000 0.000 0.500 [1 per cell]
Fe 0.000 0.500 0.500 [2 per cell]

Computed properties:
magnetic moment = 0.58 μB/f.u.
raw total energy = -0.148 hartree per atom
DFT formation energy = 1.56 eV/atom